Entry 1:
{"formula": "SmMnCo3Cu", "functional": "PBE", "state": "optimized geometry", "energy_ev_per_cell": -39.4, "cell": [[2.507, -4.342, 0.000], [2.507, 4.342, 0.000], [0.000, 0.000, 4.055]], "species": ["Co", "Co", "Co", "Cu", "Mn", "Sm"], "frac_coords": [[0.166, 0.834, 0.500], [0.166, 0.332, 0.500], [0.668, 0.834, 0.500], [0.000, 0.000, 0.000], [0.333, 0.667, 0.000], [0.667, 0.333, 0.000]]}

Entry 2:
{"formula": "Sr2MnCoCu", "functional": "PBE", "state": "optimized geometry", "energy_ev_per_cell": -20.2, "cell": [[5.863, 0.000, 0.000], [0.000, 4.179, 0.000], [0.000, 0.000, 5.863]], "species": ["Cu", "Sr", "Sr", "Co", "Mn"], "frac_coords": [[0.500, 0.500, 0.500], [0.500, 0.000, 0.000], [0.000, 0.000, 0.500], [0.000, 0.500, 0.000], [0.000, 0.000, 0.000]]}

Entry 3:
{"formula": "YMn2CoCu", "functional": "PBE", "state": "optimized geometry", "energy_ev_per_cell": -27.0, "cell": [[4.906, 0.000, 0.000], [0.000, 4.553, 0.000], [0.000, 0.000, 4.906]], "species": ["Cu", "Co", "Mn", "Mn", "Y"], "frac_coords": [[0.500, 0.500, 0.500], [0.000, 0.500, 0.000], [0.500, 0.000, 0.000], [0.000, 0.000, 0.500], [0.000, 0.000, 0.000]]}

Entry 4:
{"formula": "MnZn2CoCu", "functional": "PBE", "state": "optimized geometry", "energy_ev_per_cell": -17.7, "cell": [[-3.053, -0.084, 3.463], [2.983, -0.890, 2.607], [0.705, 4.504, 0.731]], "species": ["Cu", "Zn", "Zn", "Mn", "Co"], "frac_coords": [[0.500, 0.500, 0.500], [0.000, 0.000, 0.500], [0.500, 0.000, 0.000], [0.000, 0.000, 0.000], [0.000, 0.500, 0.000]]}

Entry 5:
{"formula": "CoCuMo2", "functional": "PBE", "state": "optimized geometry", "energy_ev_per_cell": -31.5, "cell": [[-1.500, -1.308, 3.781], [-3.826, -1.885, 0.244], [-0.273, -4.176, 0.861]], "species": ["Co", "Mo", "Mo", "Cu"], "frac_coords": [[0.500, 0.500, 0.500], [0.250, 0.250, 0.250], [0.000, 0.000, 0.000], [0.750, 0.750, 0.750]]}

Entry 6:
{"formula": "CoCuMo2", "functional": "PBE", "state": "optimized geometry", "energy_ev_per_cell": -32.2, "cell": [[-4.398, -1.556, 0.056], [2.975, -3.412, 1.126], [-0.202, 0.672, 2.555]], "species": ["Co", "Mo", "Mo", "Cu"], "frac_coords": [[0.500, 0.000, 0.500], [0.000, 0.000, 0.000], [0.500, 0.500, 0.000], [0.000, 0.500, 0.500]]}

Entry 7:
{"formula": "Co2CuMo2", "functional": "PBE", "state": "optimized geometry", "energy_ev_per_cell": -78.2, "cell": [[-1.790, 6.629, -1.632], [-3.291, -2.316, -5.798], [-2.278, -0.270, 1.401]], "species": ["Cu", "Cu", "Co", "Co", "Co", "Co", "Mo", "Mo", "Mo", "Mo"], "frac_coords": [[0.000, 0.000, 0.000], [0.500, 0.500, 0.000], [0.124, 0.376, 0.000], [0.624, 0.124, 0.000], [0.376, 0.876, 0.000], [0.876, 0.624, 0.000], [0.672, 0.828, 0.500], [0.328, 0.172, 0.500], [0.828, 0.328, 0.500], [0.172, 0.672, 0.500]]}

Entry 8:
{"formula": "Co2CuMo", "functional": "PBE", "state": "optimized geometry", "energy_ev_per_cell": -28.3, "cell": [[4.390, -0.013, 0.027], [3.625, 2.477, 0.027], [0.685, 0.210, 4.512]], "species": ["Co", "Co", "Cu", "Mo"], "frac_coords": [[0.998, 0.998, 0.006], [0.502, 0.502, 0.494], [0.250, 0.250, 0.250], [0.750, 0.750, 0.750]]}